Record 1
VASP calculation (PBE-GGA) on a relaxed structure of ZnIn2Hg.

Results
E_form, kJ per mole of atoms: 7
Crystal system: trigonal

Cell: 4.5600 4.5600 6.2756 Å, 68.70 68.70 60.00°
Closest atoms and distances in Å follow each position.
Sites, in units of the cell vectors:
Zn 0.6672 0.6672 0.9985  6 In 2.86-2.87, 1 Hg 2.91
In 0.0670 0.0670 0.7990  3 Zn 2.87, 3 Hg 3.11
In 0.2692 0.2692 0.1925  3 Zn 2.86, 3 Hg 3.19
Hg 0.4967 0.4967 0.5100  1 Zn 2.91, 6 In 3.11-3.19

---

Record 2
VASP calculation (PBE-GGA) on a relaxed structure of Zn2InHg.

Results
E_form, kJ per mole of atoms: 15
Crystal system: cubic

Cell: 4.9466 4.9466 4.9466 Å, 60.00 60.00 60.00°
Closest atoms and distances in Å follow each position.
Sites, in units of the cell vectors:
Hg 0.5000 0.5000 0.5000  4 In 3.03, 4 Zn 3.03
In 0.7500 0.7500 0.7500  4 Zn 3.03, 4 Hg 3.03
Zn 0.2500 0.2500 0.2500  4 Hg 3.03, 4 Zn 3.03
Zn 0.0000 0.0000 0.0000  4 In 3.03, 4 Zn 3.03

---

Record 3
VASP calculation (PBE-GGA) on a relaxed structure of ZnInHg2.

Results
E_form, kJ per mole of atoms: 9
Crystal system: tetragonal

Cell: 5.7207 5.7207 5.7207 Å, 134.00 134.00 67.08°
Closest atoms and distances in Å follow each position.
Sites, in units of the cell vectors:
Zn 0.7500 0.2500 0.5000  8 Hg 3.16-3.27, 4 In 3.27
In 0.5000 0.5000 0.0000  8 Hg 3.16-3.27, 4 Zn 3.27
Hg 0.2500 0.7500 0.5000  4 Zn 3.16, 4 In 3.27, 4 Hg 3.27
Hg 0.0000 0.0000 0.0000  4 In 3.16, 4 Hg 3.27, 4 Zn 3.27

---

Record 4
VASP calculation (PBE-GGA) on a relaxed structure of ZnIn4Hg4.

Results
E_form, kJ per mole of atoms: 4
Crystal system: tetragonal

Cell: 6.2674 7.6405 6.2675 Å, 65.79 90.00 114.21°
Closest atoms and distances in Å follow each position.
Sites, in units of the cell vectors:
In 0.5997 0.7246 0.8751  1 Zn 2.89, 3 Hg 2.99-3.00
In 0.8752 0.2754 0.1249  1 Zn 2.89, 3 Hg 2.99-3.00
In 0.1248 0.7246 0.4003  1 Zn 2.89, 3 Hg 2.99-3.00
In 0.4003 0.2754 0.5997  1 Zn 2.89, 3 Hg 2.99-3.00
Hg 0.6182 0.7549 0.3818  1 Zn 2.76, 3 In 2.99-3.00
Hg 0.8633 0.2451 0.6182  1 Zn 2.76, 3 In 2.99-3.00
Hg 0.3818 0.2451 0.1367  1 Zn 2.76, 3 In 2.99-3.00
Hg 0.1367 0.7549 0.8633  1 Zn 2.76, 3 In 2.99-3.00
Zn 0.0000 0.0000 0.0000  4 Hg 2.76, 4 In 2.89

---

Record 5
VASP calculation (PBE-GGA) on a relaxed structure of ZnIn2Hg.

Results
E_form, kJ per mole of atoms: 6
Crystal system: trigonal

Cell: 9.1055 9.1055 9.1055 Å, 22.34 22.34 22.34°
Closest atoms and distances in Å follow each position.
Sites, in units of the cell vectors:
In 0.9945 0.9945 0.9945  3 Zn 2.91, 3 Hg 3.12
In 0.5055 0.5055 0.5055  3 Zn 2.91, 3 Hg 3.12
Hg 0.7500 0.7500 0.7500  6 In 3.12
Zn 0.2500 0.2500 0.2500  6 In 2.91

---

Record 6
VASP calculation (PBE-GGA) on a relaxed structure of Zn2In2Hg7.

Results
E_form, kJ per mole of atoms: 5
Crystal system: monoclinic

Cell: 6.1470 6.1470 7.6146 Å, 98.65 98.65 102.44°
Closest atoms and distances in Å follow each position.
Sites, in units of the cell vectors:
Hg 0.8284 0.8284 0.5644  1 Zn 2.91, 1 Hg 3.03, 4 In 3.14-3.21
Hg 0.5012 0.8699 0.1655  2 Zn 2.95-3.00, 1 Hg 3.18, 2 In 3.21-3.24
Hg 0.1716 0.1716 0.4356  1 Zn 2.91, 1 Hg 3.03, 4 In 3.14-3.21
Hg 0.1301 0.4988 0.8345  2 Zn 2.95-3.00, 1 Hg 3.18, 2 In 3.21-3.24
Hg 0.8699 0.5012 0.1655  2 Zn 2.95-3.00, 1 Hg 3.18, 2 In 3.21-3.24
Hg 0.0000 0.0000 0.0000  2 Zn 2.87
Hg 0.4988 0.1301 0.8345  2 Zn 2.95-3.00, 1 Hg 3.18, 2 In 3.21-3.24
In 0.2957 0.7043 0.5000  8 Hg 3.14-3.24, 2 Zn 3.19
In 0.7043 0.2957 0.5000  8 Hg 3.14-3.24, 2 Zn 3.19
Zn 0.3776 0.3776 0.1615  6 Hg 2.87-3.00, 2 In 3.19
Zn 0.6224 0.6224 0.8385  6 Hg 2.87-3.00, 2 In 3.19

---

> Which value of E_form does entry 1 give?

7 kJ per mole of atoms